Entry 1:
This record from Alexandria via LeMat-Bulk describes a crystal of SiNi2Ir relaxed with PBEsol. The functional is SCAN.

Cell: 2.844 4.068 4.747 Å, 115.37 107.43 90.00°
Positions (direct):
Ni: 0.993 0.993 0.987
Ni: 0.225 0.725 0.449
Ir: 0.772 0.272 0.544
Si: 0.510 0.510 0.019

Values from the calculation:
Formation energy without anion corrections (eV per atom): -0.321

Entry 2:
This record from Alexandria via LeMat-Bulk describes a crystal of Zr3Al relaxed with PBEsol. The functional is SCAN.

Cell: 4.258 4.258 5.411 Å, 113.17 113.17 90.00°
Positions (direct):
Zr: 0.250 0.750 0.500
Zr: 0.500 0.500 0.000
Zr: 0.750 0.250 0.500
Al: 0.000 0.000 0.000

Values from the calculation:
Formation energy (eV per atom): -0.268